CsFeHgF6 | PBE+U | optimized geometry

The uncorrected energy comes out at -72.06 eV for the cell shown.

The structure belongs to space group C2 (No. 5); the cell edges are 5.7636, 10.1570 and 6.2493 Å and the angles 90.00°, 90.17° and 90.00°. The asymmetric unit holds Cs at (0.0000, 0.0000, 0.0000), Fe at (0.0000, 0.6655, 0.5000), Hg at (0.0000, 0.3350, 0.5000), F at (0.1131, 0.5270, 0.3206), F at (0.1438, 0.7954, 0.3232) and F at (0.2240, 0.1726, 0.3296).